Entry from Alexandria: a relaxed structure of CaRePd2F (PBE-GGA).

Structure (CIF):
```
data_CaRePd2F
_cell_length_a 4.830
_cell_length_b 4.830
_cell_length_c 3.958
_cell_angle_alpha 90.00
_cell_angle_beta 90.00
_cell_angle_gamma 90.00
_symmetry_space_group_name_H-M 'P 1'
_symmetry_Int_Tables_number 1
loop_
_symmetry_equiv_pos_as_xyz
'x,y,z'
loop_
_atom_site_label
_atom_site_fract_x
_atom_site_fract_y
_atom_site_fract_z
Ca1 0.000 0.000 0.000
Re1 0.500 0.500 0.000
Pd1 0.000 0.500 0.500
Pd2 0.500 0.000 0.500
F1 0.500 0.500 0.500
```

Values from the calculation:
* SG: P4/mmm, No. 123
* crystal system: tetragonal

---

Entry from Alexandria: a relaxed structure of Ca2PdSF (PBE-GGA).

Structure (CIF):
```
data_Ca2PdSF
_cell_length_a 5.376
_cell_length_b 5.376
_cell_length_c 4.198
_cell_angle_alpha 90.00
_cell_angle_beta 90.00
_cell_angle_gamma 90.00
_symmetry_space_group_name_H-M 'P 1'
_symmetry_Int_Tables_number 1
loop_
_symmetry_equiv_pos_as_xyz
'x,y,z'
loop_
_atom_site_label
_atom_site_fract_x
_atom_site_fract_y
_atom_site_fract_z
Ca1 0.000 0.500 0.000
Ca2 0.500 0.000 0.000
Pd1 0.000 0.000 0.000
S1 0.500 0.500 0.500
F1 0.000 0.000 0.500
```

Values from the calculation:
* SG: P4/mmm, No. 123
* crystal system: tetragonal

---

Entry from Alexandria: a relaxed structure of CaPm2F8 (PBE-GGA).

Structure (CIF):
```
data_CaPm2F8
_cell_length_a 7.028
_cell_length_b 7.028
_cell_length_c 7.028
_cell_angle_alpha 146.93
_cell_angle_beta 133.48
_cell_angle_gamma 58.26
_symmetry_space_group_name_H-M 'P 1'
_symmetry_Int_Tables_number 1
loop_
_symmetry_equiv_pos_as_xyz
'x,y,z'
loop_
_atom_site_label
_atom_site_fract_x
_atom_site_fract_y
_atom_site_fract_z
Ca1 0.000 0.000 0.000
Pm1 0.325 0.325 0.000
Pm2 0.675 0.675 0.000
F1 0.119 0.856 0.263
F2 0.192 0.692 0.500
F3 0.273 0.500 0.773
F4 0.408 0.144 0.263
F5 0.592 0.856 0.737
F6 0.727 0.500 0.227
F7 0.808 0.308 0.500
F8 0.881 0.144 0.737
```

Values from the calculation:
* E above lowest polymorph: 0.107 eV per atom
* SG: Immm, No. 71
* crystal system: orthorhombic

---

Entry from Alexandria: a relaxed structure of CaPmF5 (PBE-GGA).

Structure (CIF):
```
data_CaPmF5
_cell_length_a 6.022
_cell_length_b 6.022
_cell_length_c 8.472
_cell_angle_alpha 109.30
_cell_angle_beta 109.30
_cell_angle_gamma 72.81
_symmetry_space_group_name_H-M 'P 1'
_symmetry_Int_Tables_number 1
loop_
_symmetry_equiv_pos_as_xyz
'x,y,z'
loop_
_atom_site_label
_atom_site_fract_x
_atom_site_fract_y
_atom_site_fract_z
Ca1 0.030 0.970 0.750
Ca2 0.970 0.030 0.250
Pm1 0.500 0.500 0.000
Pm2 0.500 0.500 0.500
F1 0.175 0.795 0.049
F2 0.205 0.825 0.451
F3 0.217 0.283 0.366
F4 0.283 0.217 0.866
F5 0.372 0.628 0.750
F6 0.628 0.372 0.250
F7 0.717 0.783 0.134
F8 0.783 0.717 0.634
F9 0.795 0.175 0.549
F10 0.825 0.205 0.951
```

Values from the calculation:
* E above lowest polymorph: 0.011 eV per atom
* SG: C2/c, No. 15
* crystal system: monoclinic

---

What V values result from the calculations? In sequence: 18.5 24.3 12.4 19.1 A^3/atom.
What E values result from the calculations? In sequence: -25.2 -20.7 -69.9 -43.7 eV/f.u..